! TbZrScIn (PBE, optimized geometry); values from VASP
! Final energy ... -90.371 eV for the cell shown
! SG ... No. 216
&SYSTEM
  ibrav = 0, nat = 16, ntyp = 4
/
ATOMIC_SPECIES
Tb 158.93 Tb.upf
Zr 91.22 Zr.upf
Sc 44.96 Sc.upf
In 114.82 In.upf
CELL_PARAMETERS angstrom
7.3298 0.0000 0.0000
0.0000 7.3298 0.0000
0.0000 0.0000 7.3298
ATOMIC_POSITIONS angstrom
Tb 0.0000 0.0000 0.0000
Tb 0.0000 3.6649 3.6649
Tb 3.6649 0.0000 3.6649
Tb 3.6649 3.6649 0.0000
Zr 0.0000 0.0000 3.6649
Zr 0.0000 3.6649 0.0000
Zr 3.6649 0.0000 0.0000
Zr 3.6649 3.6649 3.6649
Sc 1.8324 1.8324 1.8324
Sc 1.8324 5.4973 5.4973
Sc 5.4973 1.8324 5.4973
Sc 5.4973 5.4973 1.8324
In 1.8324 1.8324 5.4973
In 1.8324 5.4973 1.8324
In 5.4973 1.8324 1.8324
In 5.4973 5.4973 5.4973